{"formula": "LiAlZn", "functional": "PBEsol", "state": "relaxed", "total_magnetization_mub_per_fu": 0.000, "final_energy_ev_per_atom": -2.492, "lattice": [[4.2127, 0.0000, 0.0000], [2.1064, 3.6483, 0.0000], [2.1064, 1.2161, 3.4397]], "species": ["Zn", "Al", "Li"], "frac_coords": [[0.2500, 0.2500, 0.2500], [0.0000, 0.0000, 0.0000], [0.5000, 0.5000, 0.5000]]}